(1)
A plane-wave DFT calculation with PBE was carried out for La4Pm4Nd after structural relaxation.

Cell lengths 11.0658, 11.0658, 5.2447 Å; angles 90.00, 90.00, 90.00 degrees
Space group I4/mmm (No. 139)
Inequivalent atoms, fractional coordinates:
La (0.1670, 0.1670, 0.0000)
Pm (0.0000, 0.3351, 0.5000)
Nd (0.0000, 0.0000, 0.5000)

(2)
A plane-wave DFT calculation with PBE was carried out for La3Pm2Nd5 after structural relaxation.

Output
Offset from the most stable computed form (eV per formula unit): 0.00

Cell lengths 11.2263, 14.9335, 10.1955 Å; angles 90.00, 123.05, 90.00 degrees
Space group C2/c (No. 15)
Inequivalent atoms, fractional coordinates:
La (0.0000, 0.2264, 0.2500)
La (0.1520, 0.1255, 0.0578)
Pm (0.1549, 0.3763, 0.5520)
Nd (0.0000, 0.0151, 0.2500)
Nd (0.0000, 0.2680, 0.7500)
Nd (0.0000, 0.4756, 0.7500)
Nd (0.2391, 0.3772, 0.2333)

(3)
A plane-wave DFT calculation with PBE was carried out for La2Pm3Nd5 after structural relaxation.

Output
Offset from the most stable computed form (eV per formula unit): 2.14

Cell lengths 9.9858, 17.4897, 8.3369 Å; angles 90.00, 90.00, 90.00 degrees
Space group Ibam (No. 72)
Inequivalent atoms, fractional coordinates:
La (0.1100, 0.1164, 0.0000)
Pm (0.0000, 0.0000, 0.2500)
Pm (0.2483, 0.3756, 0.0000)
Nd (0.0000, 0.2405, 0.2500)
Nd (0.0000, 0.5000, 0.2500)
Nd (0.0999, 0.3663, 0.5000)

Looking at spin magnetization for the records above, in order, we have 0.00, 0.00, 0.00 μB per formula unit.
Looking at calculated total energy for the records above, in order, we have -4.81, -4.65, -4.42 eV/atom.